Entry 1:
A plane-wave DFT calculation with GGA-PBE was carried out for a geometry-optimized Pr3SmIr structure.

POSCAR file:
```
Pr3SmIr
1.0
-2.6342 -5.7013 -2.6772
4.9120 -5.0076 1.2561
-4.3011 -2.5461 5.0793
Sm Pr Ir
2 6 2
direct
0.2352 0.0655 0.0655
0.7648 0.9345 0.9345
0.7656 0.9341 0.4337
0.2296 0.5683 0.5683
0.7656 0.4337 0.9341
0.2344 0.0659 0.5663
0.7704 0.4317 0.4317
0.2344 0.5663 0.0659
0.5017 0.7531 0.7531
0.4983 0.2469 0.2469
```

Results
Size of the total moment   0.0 μB/f.u.
E above lowest polymorph   0.0 kJ/mol of atoms
Theoretical density   7.9 g/cm³
D(E_F)   5.605 states/eV/f.u.
Energy of formation   -0.23 eV/atom
Space group   C2/m

Entry 2:
A plane-wave DFT calculation with GGA-PBE was carried out for a geometry-optimized PrSm8Ir6 structure.

POSCAR file:
```
PrSm8Ir6
1.0
7.1555 0.0400 3.2284
2.1009 6.8402 3.2284
0.0538 0.0400 7.8499
Pr Ir Sm
1 6 8
direct
0.0000 0.0000 0.0000
0.2773 0.9417 0.6073
0.3927 0.7227 0.0583
0.0583 0.3927 0.7227
0.9417 0.6073 0.2773
0.7227 0.0583 0.3927
0.6073 0.2773 0.9417
0.1106 0.7771 0.4487
0.5513 0.8894 0.2229
0.4487 0.1106 0.7771
0.7771 0.4487 0.1106
0.2229 0.5513 0.8894
0.6660 0.6660 0.6660
0.8894 0.2229 0.5513
0.3340 0.3340 0.3340
```

Results
Size of the total moment   0.0 μB/f.u.
Theoretical density   10.9 g/cm³
D(E_F)   11.110 states/eV/f.u.
Energy of formation   -0.64 eV/atom
Space group   R-3

Entry 3:
A plane-wave DFT calculation with GGA-PBE was carried out for a geometry-optimized Pr4SmIr2 structure.

POSCAR file:
```
Pr4SmIr2
1.0
-4.7352 1.4018 -4.4721
-0.0482 -7.6918 -2.3600
-5.2811 1.5861 6.0889
Pr Sm Ir
8 2 4
direct
0.5053 0.4156 0.7655
0.0053 0.5844 0.2345
0.4947 0.5844 0.2345
0.9947 0.4156 0.7655
0.2500 0.9874 0.6218
0.2500 0.2492 0.3393
0.7500 0.0126 0.3782
0.7500 0.7508 0.6607
0.2500 0.8504 0.9695
0.7500 0.1496 0.0305
0.7500 0.3687 0.4003
0.2500 0.2428 0.9904
0.7500 0.7572 0.0096
0.2500 0.6313 0.5997
```

Results
Size of the total moment   0.0 μB/f.u.
Theoretical density   9.0 g/cm³
D(E_F)   8.157 states/eV/f.u.
Energy of formation   -0.36 eV/atom
Space group   P2_1/m